Material: ZrCuRe2
Method: DFT, PBE
State: relaxed

The energy above the lowest structure with this stoichiometry is 0.213 eV/atom. The value obtained for the total magnetic moment is 0.0 μB per formula unit. The crystal system is orthorhombic. As for the formation energy: 23 kJ per mole of atoms. The calculation puts the mass density at 13.71 g cm⁻³. The final energy is -73.21 eV/cell.

The space group is Cmm2 (No. 35) and the conventional cell measures 3.229, 4.450 and 8.887 Å, with angles of 90.00, 90.00 and 90.00 degrees. The inequivalent atoms are Zr at (0.000, 0.000, 0.000), Cu at (0.000, 0.500, 0.739), Re at (0.000, 0.000, 0.504) and Re at (0.000, 0.500, 0.267).